# OsPtS2, optimized geometry, DFT PBE-GGA
# Energy above the lowest structure with this stoichiometry   0.599 eV per atom
# Total magnetization   0.00 μB/f.u.
# ρ   12.95 g/cm3
# Formation energy from raw total energies   2.701 eV/f.u.
data_OsPtS2
_space_group_name_H-M_alt 'P 1'
_space_group_IT_number 1
_space_group_name_Hall 'P 1'
_cell_length_a 4.336
_cell_length_b 4.336
_cell_length_c 4.336
_cell_angle_alpha 60.00
_cell_angle_beta 60.00
_cell_angle_gamma 60.00
loop_
_atom_site_label
_atom_site_fract_x
_atom_site_fract_y
_atom_site_fract_z
Os1 0.000 0.000 0.000
Pt1 0.500 0.500 0.500
S1 0.250 0.250 0.250
S2 0.750 0.750 0.750

***

# OsPt2S, optimized geometry, DFT PBE-GGA
# Total magnetization   0.00 μB/f.u.
# ρ   13.15 g/cm3
# Formation energy from raw total energies   2.892 eV/f.u.
data_OsPt2S
_space_group_name_H-M_alt 'P 1'
_space_group_IT_number 1
_space_group_name_Hall 'P 1'
_cell_length_a 5.939
_cell_length_b 5.939
_cell_length_c 5.939
_cell_angle_alpha 116.66
_cell_angle_beta 116.66
_cell_angle_gamma 95.89
loop_
_atom_site_label
_atom_site_fract_x
_atom_site_fract_y
_atom_site_fract_z
Os1 0.000 0.000 0.000
Os2 0.750 0.250 0.500
Pt1 0.135 0.625 0.010
Pt2 0.375 0.385 0.510
Pt3 0.615 0.125 0.990
Pt4 0.875 0.865 0.490
S1 0.250 0.750 0.500
S2 0.500 0.500 0.000

***

# OsPtS2, optimized geometry, DFT PBE-GGA
# Energy above the lowest structure with this stoichiometry   0.048 eV per atom
# Total magnetization   0.00 μB/f.u.
# ρ   9.88 g/cm3
# Formation energy from raw total energies   0.494 eV/f.u.
data_OsPtS2
_space_group_name_H-M_alt 'P 1'
_space_group_IT_number 1
_space_group_name_Hall 'P 1'
_cell_length_a 6.515
_cell_length_b 6.515
_cell_length_c 6.515
_cell_angle_alpha 131.70
_cell_angle_beta 131.70
_cell_angle_gamma 70.70
loop_
_atom_site_label
_atom_site_fract_x
_atom_site_fract_y
_atom_site_fract_z
Os1 0.000 0.000 0.000
Os2 0.750 0.250 0.500
Pt1 0.250 0.750 0.500
Pt2 0.500 0.500 0.000
S1 0.106 0.625 0.981
S2 0.375 0.356 0.481
S3 0.644 0.125 0.019
S4 0.875 0.894 0.519

***

# Os3PtS, optimized geometry, DFT PBE-GGA
# Energy above the lowest structure with this stoichiometry   0.000 eV per atom
# Total magnetization   0.00 μB/f.u.
# ρ   16.47 g/cm3
# Formation energy from raw total energies   5.840 eV/f.u.
data_Os3PtS
_space_group_name_H-M_alt 'P 1'
_space_group_IT_number 1
_space_group_name_Hall 'P 1'
_cell_length_a 4.316
_cell_length_b 4.316
_cell_length_c 4.316
_cell_angle_alpha 90.00
_cell_angle_beta 90.00
_cell_angle_gamma 90.00
loop_
_atom_site_label
_atom_site_fract_x
_atom_site_fract_y
_atom_site_fract_z
Os1 0.000 0.000 0.500
Os2 0.000 0.500 0.000
Os3 0.500 0.000 0.000
Pt1 0.500 0.500 0.500
S1 0.000 0.000 0.000

***

# OsPtS, optimized geometry, DFT PBE-GGA
# Total magnetization   0.54 μB/f.u.
# ρ   13.07 g/cm3
# Formation energy from raw total energies   0.626 eV/f.u.
data_OsPtS
_space_group_name_H-M_alt 'P 1'
_space_group_IT_number 1
_space_group_name_Hall 'P 1'
_cell_length_a 3.398
_cell_length_b 3.398
_cell_length_c 9.186
_cell_angle_alpha 90.00
_cell_angle_beta 90.00
_cell_angle_gamma 90.00
loop_
_atom_site_label
_atom_site_fract_x
_atom_site_fract_y
_atom_site_fract_z
Os1 0.250 0.250 0.069
Os2 0.750 0.750 0.931
Pt1 0.250 0.250 0.774
Pt2 0.750 0.750 0.226
S1 0.250 0.250 0.320
S2 0.750 0.750 0.680

***

# TeOs2PtS, optimized geometry, DFT PBE-GGA
# Total magnetization   4.96 μB/f.u.
# ρ   9.74 g/cm3
# Formation energy from raw total energies   11.248 eV/f.u.
data_TeOs2PtS
_space_group_name_H-M_alt 'P 1'
_space_group_IT_number 1
_space_group_name_Hall 'P 1'
_cell_length_a 4.935
_cell_length_b 4.935
_cell_length_c 5.144
_cell_angle_alpha 90.00
_cell_angle_beta 90.00
_cell_angle_gamma 90.00
loop_
_atom_site_label
_atom_site_fract_x
_atom_site_fract_y
_atom_site_fract_z
Te1 0.000 0.000 0.000
Os1 0.000 0.500 0.500
Os2 0.500 0.000 0.500
Pt1 0.000 0.000 0.500
S1 0.500 0.500 0.000

***

# Th8Os3PtS4, optimized geometry, DFT PBE-GGA
# Total magnetization   0.00 μB/f.u.
# ρ   11.03 g/cm3
# Formation energy from raw total energies   -18.564 eV/f.u.
data_Th8Os3PtS4
_space_group_name_H-M_alt 'P 1'
_space_group_IT_number 1
_space_group_name_Hall 'P 1'
_cell_length_a 8.552
_cell_length_b 8.552
_cell_length_c 8.552
_cell_angle_alpha 57.22
_cell_angle_beta 57.22
_cell_angle_gamma 57.22
loop_
_atom_site_label
_atom_site_fract_x
_atom_site_fract_y
_atom_site_fract_z
Th1 0.234 0.746 0.746
Th2 0.242 0.242 0.242
Th3 0.254 0.254 0.766
Th4 0.254 0.766 0.254
Th5 0.746 0.234 0.746
Th6 0.746 0.746 0.234
Th7 0.758 0.758 0.758
Th8 0.766 0.254 0.254
Os1 0.000 0.000 0.500
Os2 0.000 0.500 0.000
Os3 0.500 0.000 0.000
Pt1 0.500 0.500 0.500
S1 0.000 0.000 0.000
S2 0.000 0.500 0.500
S3 0.500 0.000 0.500
S4 0.500 0.500 0.000

***

# Th6OsPt2S3, optimized geometry, DFT PBE-GGA
# Total magnetization   0.00 μB/f.u.
# ρ   11.10 g/cm3
# Formation energy from raw total energies   -15.788 eV/f.u.
data_Th6OsPt2S3
_space_group_name_H-M_alt 'P 1'
_space_group_IT_number 1
_space_group_name_Hall 'P 1'
_cell_length_a 9.448
_cell_length_b 9.448
_cell_length_c 8.516
_cell_angle_alpha 106.00
_cell_angle_beta 106.00
_cell_angle_gamma 25.11
loop_
_atom_site_label
_atom_site_fract_x
_atom_site_fract_y
_atom_site_fract_z
Th1 0.001 0.001 0.235
Th2 0.333 0.333 0.418
Th3 0.340 0.340 0.914
Th4 0.660 0.660 0.086
Th5 0.667 0.667 0.582
Th6 0.999 0.999 0.765
Os1 0.500 0.500 0.000
Pt1 0.168 0.168 0.338
Pt2 0.832 0.832 0.662
S1 0.169 0.169 0.834
S2 0.500 0.500 0.500
S3 0.831 0.831 0.166

***

# Th4Os2PtS, optimized geometry, DFT PBE-GGA
# Total magnetization   0.00 μB/f.u.
# ρ   12.45 g/cm3
# Formation energy from raw total energies   -7.111 eV/f.u.
data_Th4Os2PtS
_space_group_name_H-M_alt 'P 1'
_space_group_IT_number 1
_space_group_name_Hall 'P 1'
_cell_length_a 7.220
_cell_length_b 4.130
_cell_length_c 7.292
_cell_angle_alpha 90.00
_cell_angle_beta 109.53
_cell_angle_gamma 90.00
loop_
_atom_site_label
_atom_site_fract_x
_atom_site_fract_y
_atom_site_fract_z
Th1 0.241 0.000 0.228
Th2 0.254 0.500 0.769
Th3 0.746 0.500 0.231
Th4 0.759 0.000 0.772
Os1 0.000 0.500 0.000
Os2 0.500 0.000 0.000
Pt1 0.000 0.000 0.500
S1 0.500 0.500 0.500

***

# Th4OsPtS2, optimized geometry, DFT PBE-GGA
# Total magnetization   0.00 μB/f.u.
# ρ   11.06 g/cm3
# Formation energy from raw total energies   -10.020 eV/f.u.
data_Th4OsPtS2
_space_group_name_H-M_alt 'P 1'
_space_group_IT_number 1
_space_group_name_Hall 'P 1'
_cell_length_a 7.096
_cell_length_b 4.109
_cell_length_c 7.469
_cell_angle_alpha 90.00
_cell_angle_beta 108.27
_cell_angle_gamma 90.00
loop_
_atom_site_label
_atom_site_fract_x
_atom_site_fract_y
_atom_site_fract_z
Th1 0.237 0.000 0.231
Th2 0.245 0.500 0.766
Th3 0.755 0.500 0.234
Th4 0.763 0.000 0.769
Os1 0.000 0.500 0.000
Pt1 0.500 0.000 0.000
S1 0.000 0.000 0.500
S2 0.500 0.500 0.500

***

# Th6Os3PtS2, optimized geometry, DFT PBE-GGA
# Total magnetization   0.00 μB/f.u.
# ρ   12.02 g/cm3
# Formation energy from raw total energies   -11.383 eV/f.u.
data_Th6Os3PtS2
_space_group_name_H-M_alt 'P 1'
_space_group_IT_number 1
_space_group_name_Hall 'P 1'
_cell_length_a 9.392
_cell_length_b 9.392
_cell_length_c 8.419
_cell_angle_alpha 104.28
_cell_angle_beta 104.28
_cell_angle_gamma 25.29
loop_
_atom_site_label
_atom_site_fract_x
_atom_site_fract_y
_atom_site_fract_z
Th1 0.003 0.003 0.241
Th2 0.329 0.329 0.422
Th3 0.340 0.340 0.896
Th4 0.660 0.660 0.104
Th5 0.671 0.671 0.578
Th6 0.997 0.997 0.759
Os1 0.169 0.169 0.339
Os2 0.500 0.500 0.000
Os3 0.831 0.831 0.661
Pt1 0.500 0.500 0.500
S1 0.173 0.173 0.849
S2 0.827 0.827 0.151

***

# SbOs3Pt, optimized geometry, DFT PBE-GGA
# Energy above the lowest structure with this stoichiometry   0.000 eV per atom
# Total magnetization   0.00 μB/f.u.
# ρ   13.53 g/cm3
# Formation energy from raw total energies   11.713 eV/f.u.
data_SbOs3Pt
_space_group_name_H-M_alt 'P 1'
_space_group_IT_number 1
_space_group_name_Hall 'P 1'
_cell_length_a 4.776
_cell_length_b 4.776
_cell_length_c 4.776
_cell_angle_alpha 90.00
_cell_angle_beta 90.00
_cell_angle_gamma 90.00
loop_
_atom_site_label
_atom_site_fract_x
_atom_site_fract_y
_atom_site_fract_z
Sb1 0.000 0.000 0.000
Os1 0.000 0.500 0.500
Os2 0.500 0.000 0.500
Os3 0.500 0.500 0.000
Pt1 0.500 0.500 0.500

***

Q: Among the records above, which one has the lowest ρ?
A: TeOs2PtS

***

Q: Among the records above, which one has the lowest ρ?
A: TeOs2PtS

***

Copy entry 10 word for word.
# Th4OsPtS2, optimized geometry, DFT PBE-GGA
# Total magnetization   0.00 μB/f.u.
# ρ   11.06 g/cm3
# Formation energy from raw total energies   -10.020 eV/f.u.
data_Th4OsPtS2
_space_group_name_H-M_alt 'P 1'
_space_group_IT_number 1
_space_group_name_Hall 'P 1'
_cell_length_a 7.096
_cell_length_b 4.109
_cell_length_c 7.469
_cell_angle_alpha 90.00
_cell_angle_beta 108.27
_cell_angle_gamma 90.00
loop_
_atom_site_label
_atom_site_fract_x
_atom_site_fract_y
_atom_site_fract_z
Th1 0.237 0.000 0.231
Th2 0.245 0.500 0.766
Th3 0.755 0.500 0.234
Th4 0.763 0.000 0.769
Os1 0.000 0.500 0.000
Pt1 0.500 0.000 0.000
S1 0.000 0.000 0.500
S2 0.500 0.500 0.500